Material: Tb6Nd5Dy2
Method: DFT, GGA-PBE
State: relaxed

Cell: 3.614 11.713 20.658 Å, 90.00 90.00 90.00°
Element x y z (fractional)
Tb  0.000  0.062  0.081
Nd  0.500  0.416  0.727
Nd  0.500  0.500  0.000
Nd  0.500  0.698  0.551
Nd  0.500  0.584  0.273
Tb  0.500  0.825  0.362
Nd  0.500  0.916  0.773
Tb  0.000  0.081  0.368
Tb  0.000  0.919  0.632
Nd  0.500  0.802  0.051
Tb  0.000  0.562  0.419
Dy  0.000  0.329  0.289
Tb  0.500  0.175  0.638
Nd  0.500  0.302  0.449
Dy  0.000  0.829  0.211
Nd  0.500  0.198  0.949
Dy  0.000  0.171  0.789
Tb  0.500  0.325  0.138
Nd  0.500  0.084  0.227
Tb  0.000  0.938  0.919
Dy  0.000  0.671  0.711
Tb  0.000  0.438  0.581
Tb  0.500  0.675  0.862
Nd  0.500  0.000  0.500
Tb  0.000  0.419  0.868
Tb  0.000  0.581  0.132

Results
symmetry	No. 55
formation enthalpy at 0 K	0.092	eV per atom
uncorrected energy	-4.5870	eV per atom
total magnetization	0.000	μB/atom

=====

Material: Tb4Nd11Dy9
Method: DFT, GGA-PBE
State: relaxed

Cell: 3.676 15.446 15.446 Å, 113.09 90.00 90.00°
Element x y z (fractional)
Nd  0.000  0.160  0.840
Nd  0.000  0.708  0.708
Dy  0.500  0.165  0.631
Nd  0.000  0.043  0.405
Nd  0.000  0.000  0.000
Nd  0.000  0.632  0.368
Dy  0.500  0.369  0.835
Tb  0.500  0.555  0.759
Nd  0.000  0.595  0.957
Tb  0.500  0.759  0.555
Nd  0.000  0.957  0.595
Dy  0.500  0.835  0.369
Nd  0.000  0.405  0.043
Nd  0.000  0.292  0.292
Nd  0.000  0.840  0.160
Dy  0.500  0.213  0.067
Dy  0.500  0.933  0.787
Tb  0.500  0.241  0.445
Dy  0.500  0.500  0.500
Dy  0.500  0.067  0.213
Dy  0.500  0.787  0.933
Nd  0.000  0.368  0.632
Tb  0.500  0.445  0.241
Dy  0.500  0.631  0.165

Results
symmetry	No. 65
formation enthalpy at 0 K	0.056	eV per atom
uncorrected energy	-4.6263	eV per atom
total magnetization	0.000	μB/atom

=====

Material: Tb7Nd4Dy
Method: DFT, GGA-PBE
State: relaxed

Cell: 6.879 8.857 9.143 Å, 84.18 94.46 47.38°
Element x y z (fractional)
Nd  0.551  0.639  0.282
Dy  0.000  0.000  0.000
Nd  0.775  0.840  0.693
Tb  0.294  0.812  0.617
Tb  0.016  0.681  0.360
Tb  0.264  0.489  0.051
Nd  0.225  0.160  0.307
Nd  0.449  0.361  0.718
Tb  0.500  0.000  0.000
Tb  0.736  0.511  0.949
Tb  0.984  0.319  0.640
Tb  0.706  0.188  0.383

Results
energy relative to the lowest polymorph listed for this composition	0.000	eV/atom
symmetry	No. 2
formation enthalpy at 0 K	0.086	eV per atom
uncorrected energy	-4.5876	eV per atom
total magnetization	0.000	μB/atom

=====

Material: Tb2Nd3Dy3
Method: DFT, GGA-PBE
State: relaxed

Cell: 5.992 5.997 8.497 Å, 110.67 110.65 90.00°
Element x y z (fractional)
Dy  0.124  0.625  0.249
Nd  0.628  0.128  0.256
Nd  0.372  0.872  0.744
Dy  0.876  0.375  0.751
Tb  0.751  0.751  0.503
Nd  0.500  0.500  0.000
Dy  0.000  0.000  0.000
Tb  0.249  0.249  0.497

Results
energy relative to the lowest polymorph listed for this composition	0.102	eV/atom
symmetry	No. 71
formation enthalpy at 0 K	0.121	eV per atom
uncorrected energy	-4.5507	eV per atom
total magnetization	0.000	μB/atom

=====

Material: TbNd7Dy2
Method: DFT, GGA-PBE
State: relaxed

Cell: 5.649 9.408 9.408 Å, 123.80 90.00 90.00°
Element x y z (fractional)
Tb  0.000  0.000  0.000
Nd  0.500  0.292  0.066
Nd  0.000  0.218  0.782
Nd  0.500  0.066  0.292
Nd  0.500  0.934  0.708
Dy  0.500  0.705  0.295
Nd  0.000  0.782  0.218
Nd  0.500  0.708  0.934
Dy  0.500  0.295  0.705
Nd  0.500  0.500  0.500

Results
energy relative to the lowest polymorph listed for this composition	0.262	eV/atom
symmetry	No. 65
formation enthalpy at 0 K	0.639	eV per atom
uncorrected energy	-4.0821	eV per atom
total magnetization	0.000	μB/atom

=====

Material: Tb7Nd2Dy2
Method: DFT, GGA-PBE
State: relaxed

Cell: 6.070 8.653 8.653 Å, 83.29 63.71 63.71°
Element x y z (fractional)
Tb  0.824  0.410  0.940
Tb  0.371  0.414  0.414
Tb  0.824  0.940  0.410
Tb  0.629  0.586  0.586
Tb  0.000  0.000  0.000
Dy  0.500  0.218  0.782
Nd  0.129  0.231  0.231
Tb  0.176  0.590  0.060
Nd  0.871  0.769  0.769
Tb  0.176  0.060  0.590
Dy  0.500  0.782  0.218

Results
energy relative to the lowest polymorph listed for this composition	0.003	eV/atom
symmetry	No. 12
formation enthalpy at 0 K	0.152	eV per atom
uncorrected energy	-4.4984	eV per atom
total magnetization	0.000	μB/atom

=====

Q: Among the records above, which one has the lowest formation enthalpy at 0 K?
A: Tb4Nd11Dy9

=====

Repeat the fifth record exactly.
Material: TbNd7Dy2
Method: DFT, GGA-PBE
State: relaxed

Cell: 5.649 9.408 9.408 Å, 123.80 90.00 90.00°
Element x y z (fractional)
Tb  0.000  0.000  0.000
Nd  0.500  0.292  0.066
Nd  0.000  0.218  0.782
Nd  0.500  0.066  0.292
Nd  0.500  0.934  0.708
Dy  0.500  0.705  0.295
Nd  0.000  0.782  0.218
Nd  0.500  0.708  0.934
Dy  0.500  0.295  0.705
Nd  0.500  0.500  0.500

Results
energy relative to the lowest polymorph listed for this composition	0.262	eV/atom
symmetry	No. 65
formation enthalpy at 0 K	0.639	eV per atom
uncorrected energy	-4.0821	eV per atom
total magnetization	0.000	μB/atom